Record 1
# SrDyAsO PBE-GGA relaxed
data_SrDyAsO
_chemical_formula_sum 'Sr2 Dy2 As2 O2'
_cell_length_a 4.942
_cell_length_b 4.942
_cell_length_c 8.829
_cell_angle_alpha 90.00
_cell_angle_beta 90.00
_cell_angle_gamma 90.00
_symmetry_space_group_name_H-M 'P 4/n m m'
_symmetry_Int_Tables_number 129
loop_
_symmetry_equiv_pos_as_xyz
'x,y,z'
'-x,-y,-z'
'-y+1/2,x,z'
'y+1/2,-x,-z'
'-x+1/2,-y+1/2,z'
'x+1/2,y+1/2,-z'
'y,-x+1/2,z'
'-y,x+1/2,-z'
'x+1/2,-y,-z'
'-x+1/2,y,z'
'-y,-x,-z'
'y,x,z'
'-x,y+1/2,-z'
'x,-y+1/2,z'
'y+1/2,x+1/2,-z'
'-y+1/2,-x+1/2,z'
loop_
_atom_site_label
_atom_site_type_symbol
_atom_site_fract_x
_atom_site_fract_y
_atom_site_fract_z
Sr1 Sr 0.250 0.250 0.049
Dy1 Dy 0.250 0.750 0.500
As1 As 0.250 0.250 0.649
O1 O 0.250 0.750 0.000
# E ... -44.026 eV for the cell shown
# Energy above the most stable polymorph in this dataset ... 2.171 eV/f.u.
# Magnetization ... 0.02 μB per atom

Record 2
# SrDyAsO PBE-GGA relaxed
data_SrDyAsO
_chemical_formula_sum 'Sr2 Dy2 As2 O2'
_cell_length_a 4.634
_cell_length_b 7.219
_cell_length_c 6.514
_cell_angle_alpha 90.00
_cell_angle_beta 90.00
_cell_angle_gamma 90.00
_symmetry_space_group_name_H-M 'P m c 21'
_symmetry_Int_Tables_number 26
_symmetry_space_group_name_Hall 'P 2c -2'
loop_
_atom_site_label
_atom_site_type_symbol
_atom_site_fract_x
_atom_site_fract_y
_atom_site_fract_z
Sr1 Sr 0.000 0.199 0.000
Dy1 Dy 0.500 0.395 0.613
As1 As 0.000 0.229 0.476
O1 O 0.500 0.347 0.944
# E ... -48.368 eV for the cell shown
# Energy above the most stable polymorph in this dataset ... 0.000 eV/f.u.
# Magnetization ... 0.00 μB per atom

Record 3
# DyTaAsO PBE-GGA relaxed
data_DyTaAsO
_chemical_formula_sum 'Dy2 Ta2 As2 O2'
_cell_length_a 3.796
_cell_length_b 7.326
_cell_length_c 5.727
_cell_angle_alpha 90.00
_cell_angle_beta 90.00
_cell_angle_gamma 90.00
_symmetry_space_group_name_H-M 'P m c 21'
_symmetry_Int_Tables_number 26
_symmetry_space_group_name_Hall 'P 2c -2'
loop_
_atom_site_label
_atom_site_type_symbol
_atom_site_fract_x
_atom_site_fract_y
_atom_site_fract_z
Dy1 Dy 0.000 0.228 0.000
Ta1 Ta 0.500 0.408 0.506
As1 As 0.000 0.165 0.487
O1 O 0.500 0.332 0.859
# E ... -63.003 eV for the cell shown
# Energy above the most stable polymorph in this dataset ... 1.951 eV/f.u.
# Magnetization ... 0.00 μB per atom

Record 4
# DyTaAsO PBE-GGA relaxed
data_DyTaAsO
_chemical_formula_sum 'Dy2 Ta2 As2 O2'
_cell_length_a 4.129
_cell_length_b 4.993
_cell_length_c 6.665
_cell_angle_alpha 90.00
_cell_angle_beta 90.00
_cell_angle_gamma 90.00
_symmetry_space_group_name_H-M 'P m c 21'
_symmetry_Int_Tables_number 26
_symmetry_space_group_name_Hall 'P 2c -2'
loop_
_atom_site_label
_atom_site_type_symbol
_atom_site_fract_x
_atom_site_fract_y
_atom_site_fract_z
Dy1 Dy 0.000 0.187 0.000
Ta1 Ta 0.500 0.374 0.343
As1 As 0.500 0.135 0.694
O1 O 0.000 0.381 0.336
# E ... -65.139 eV for the cell shown
# Energy above the most stable polymorph in this dataset ... 0.883 eV/f.u.
# Magnetization ... 0.00 μB per atom

Record 5
# DyTaAsO PBE-GGA relaxed
data_DyTaAsO
_chemical_formula_sum 'Dy2 Ta2 As2 O2'
_cell_length_a 4.099
_cell_length_b 4.099
_cell_length_c 7.903
_cell_angle_alpha 90.00
_cell_angle_beta 90.00
_cell_angle_gamma 90.00
_symmetry_space_group_name_H-M 'P 4/n m m'
_symmetry_Int_Tables_number 129
loop_
_symmetry_equiv_pos_as_xyz
'x,y,z'
'-x,-y,-z'
'-y+1/2,x,z'
'y+1/2,-x,-z'
'-x+1/2,-y+1/2,z'
'x+1/2,y+1/2,-z'
'y,-x+1/2,z'
'-y,x+1/2,-z'
'x+1/2,-y,-z'
'-x+1/2,y,z'
'-y,-x,-z'
'y,x,z'
'-x,y+1/2,-z'
'x,-y+1/2,z'
'y+1/2,x+1/2,-z'
'-y+1/2,-x+1/2,z'
loop_
_atom_site_label
_atom_site_type_symbol
_atom_site_fract_x
_atom_site_fract_y
_atom_site_fract_z
Dy1 Dy 0.250 0.750 0.000
Ta1 Ta 0.250 0.250 0.393
As1 As 0.250 0.250 0.744
O1 O 0.250 0.750 0.500
# E ... -58.260 eV for the cell shown
# Energy above the most stable polymorph in this dataset ... 4.323 eV/f.u.
# Magnetization ... 0.00 μB per atom

Record 6
# DyTaAsO PBE-GGA relaxed
data_DyTaAsO
_chemical_formula_sum 'Dy2 Ta2 As2 O2'
_cell_length_a 3.950
_cell_length_b 3.950
_cell_length_c 9.000
_cell_angle_alpha 90.00
_cell_angle_beta 90.00
_cell_angle_gamma 90.00
_symmetry_space_group_name_H-M 'P 4/n m m'
_symmetry_Int_Tables_number 129
loop_
_symmetry_equiv_pos_as_xyz
'x,y,z'
'-x,-y,-z'
'-y+1/2,x,z'
'y+1/2,-x,-z'
'-x+1/2,-y+1/2,z'
'x+1/2,y+1/2,-z'
'y,-x+1/2,z'
'-y,x+1/2,-z'
'x+1/2,-y,-z'
'-x+1/2,y,z'
'-y,-x,-z'
'y,x,z'
'-x,y+1/2,-z'
'x,-y+1/2,z'
'y+1/2,x+1/2,-z'
'-y+1/2,-x+1/2,z'
loop_
_atom_site_label
_atom_site_type_symbol
_atom_site_fract_x
_atom_site_fract_y
_atom_site_fract_z
Dy1 Dy 0.250 0.250 0.122
Ta1 Ta 0.250 0.750 0.500
As1 As 0.250 0.250 0.701
O1 O 0.250 0.750 0.000
# E ... -66.905 eV for the cell shown
# Energy above the most stable polymorph in this dataset ... 0.000 eV/f.u.
# Magnetization ... 0.01 μB per atom

Record 7
# TbDyAsO PBE-GGA relaxed
data_TbDyAsO
_chemical_formula_sum 'Tb2 Dy2 As2 O2'
_cell_length_a 4.167
_cell_length_b 7.627
_cell_length_c 5.918
_cell_angle_alpha 90.00
_cell_angle_beta 90.00
_cell_angle_gamma 90.00
_symmetry_space_group_name_H-M 'P m c 21'
_symmetry_Int_Tables_number 26
_symmetry_space_group_name_Hall 'P 2c -2'
loop_
_atom_site_label
_atom_site_type_symbol
_atom_site_fract_x
_atom_site_fract_y
_atom_site_fract_z
Tb1 Tb 0.000 0.208 0.000
Dy1 Dy 0.500 0.389 0.573
As1 As 0.000 0.162 0.491
O1 O 0.500 0.329 0.941
# E ... -53.442 eV for the cell shown
# Energy above the most stable polymorph in this dataset ... 0.000 eV/f.u.
# Magnetization ... 0.00 μB per atom

Record 8
# TbDyAsO PBE-GGA relaxed
data_TbDyAsO
_chemical_formula_sum 'Tb2 Dy2 As2 O2'
_cell_length_a 4.156
_cell_length_b 7.672
_cell_length_c 5.873
_cell_angle_alpha 90.00
_cell_angle_beta 90.00
_cell_angle_gamma 90.00
_symmetry_space_group_name_H-M 'P m c 21'
_symmetry_Int_Tables_number 26
_symmetry_space_group_name_Hall 'P 2c -2'
loop_
_atom_site_label
_atom_site_type_symbol
_atom_site_fract_x
_atom_site_fract_y
_atom_site_fract_z
Tb1 Tb 0.000 0.114 0.000
Dy1 Dy 0.500 0.290 0.432
As1 As 0.500 0.343 0.923
O1 O 0.000 0.173 0.376
# E ... -53.377 eV for the cell shown
# Energy above the most stable polymorph in this dataset ... 0.032 eV/f.u.
# Magnetization ... 0.00 μB per atom

Q: Look up the magnetization of the third one.
A: 0.00 μB per atom

Q: E of number 6 (DyTaAsO)?
A: -66.905 eV for the cell shown